{
  "formula": "TmPuThAl",
  "functional": "PBE",
  "state": "relaxed",
  "cell": [[0.000, 3.768, 3.768], [3.768, 0.000, 3.768], [3.768, 3.768, 0.000]],
  "species": ["Tm", "Pu", "Th", "Al"],
  "frac_coords": [[0.000, 0.000, 0.000], [0.750, 0.750, 0.750], [0.250, 0.250, 0.250], [0.500, 0.500, 0.500]],
  "formation_energy_ev_per_atom": 0.087,
  "e_tot_ev_per_atom": -7.40,
  "sg": "F-43m, No. 216"
}